Entry 1:
Compound: PmTh7
Source: the Alexandria database
Functional: PBE
Structure: relaxed

Cell lengths 7.149, 7.149, 7.149 Å; angles 60.00, 60.00, 60.00 degrees
Element x y z (fractional)
Pm1 0.000 0.000 0.000
Th1 0.000 0.000 0.500
Th2 0.000 0.500 0.000
Th3 0.000 0.500 0.500
Th4 0.500 0.000 0.000
Th5 0.500 0.000 0.500
Th6 0.500 0.500 0.000
Th7 0.500 0.500 0.500

formation energy	0.023	eV per atom
calculated density	11.37	Mg/m³


Entry 2:
Compound: PmTh
Source: the Alexandria database
Functional: PBE
Structure: relaxed

Cell lengths 3.610, 3.610, 10.225 Å; angles 90.00, 90.00, 90.00 degrees
Element x y z (fractional)
Pm1 0.250 0.250 0.135
Pm2 0.750 0.750 0.865
Th1 0.250 0.250 0.618
Th2 0.750 0.750 0.382

ΔE to the lowest computed polymorph	0.0149	eV/atom
formation energy	0.029	eV per atom
calculated density	9.40	Mg/m³


Entry 3:
Compound: Pm7Th2
Source: the Alexandria database
Functional: PBE
Structure: relaxed

Cell lengths 6.286, 6.286, 8.926 Å; angles 90.00, 90.00, 120.00 degrees
Element x y z (fractional)
Pm1 0.000 0.000 0.000
Pm2 0.000 0.338 0.675
Pm3 0.000 0.662 0.325
Pm4 0.338 0.000 0.675
Pm5 0.338 0.338 0.325
Pm6 0.662 0.000 0.325
Pm7 0.662 0.662 0.675
Th1 0.333 0.667 0.000
Th2 0.667 0.333 0.000

formation energy	0.039	eV per atom
calculated density	8.04	Mg/m³


Entry 4:
Compound: Pm5Th4
Source: the Alexandria database
Functional: PBE
Structure: relaxed

Cell lengths 9.280, 9.280, 9.280 Å; angles 92.18, 92.18, 157.51 degrees
Element x y z (fractional)
Pm1 0.000 0.000 0.000
Pm2 0.333 0.333 0.666
Pm3 0.333 0.667 0.000
Pm4 0.667 0.333 0.000
Pm5 0.667 0.667 0.334
Th1 0.000 0.339 0.339
Th2 0.000 0.661 0.661
Th3 0.339 0.000 0.339
Th4 0.661 0.000 0.661

formation energy	0.124	eV per atom
calculated density	9.16	Mg/m³


Number 1: V 32.3 A^3/atom. Number 2: V 33.3 A^3/atom. Number 3: V 33.9 A^3/atom. Number 4: V 33.3 A^3/atom.